No. 1
{
  "formula": "TiNb2ZnAs",
  "functional": "PBE",
  "state": "relaxed",
  "cell": [[-3.995, -2.599, -0.636], [-0.298, -0.620, 4.407], [-2.656, 3.990, 0.381]],
  "species": ["Zn", "Nb", "Nb", "As", "Ti"],
  "frac_coords": [[0.000, 0.500, 0.000], [0.000, 0.000, 0.500], [0.500, 0.000, 0.000], [0.000, 0.000, 0.000], [0.500, 0.500, 0.500]],
  "sg": "No. 123",
  "m_tot_mub_per_cell": 0.0,
  "e_form_ev_per_fu": 3.25
}

No. 2
{
  "formula": "ZrTiNbAs2",
  "functional": "PBE",
  "state": "relaxed",
  "cell": [[-1.455, -4.458, -1.120], [4.323, -1.100, -1.238], [0.926, -1.435, 4.508]],
  "species": ["Nb", "As", "As", "Zr", "Ti"],
  "frac_coords": [[0.000, 0.500, 0.000], [0.000, 0.000, 0.500], [0.500, 0.000, 0.000], [0.500, 0.500, 0.500], [0.000, 0.000, 0.000]],
  "de_polymorph_mev_per_atom": 0.0,
  "sg": "No. 123",
  "m_tot_mub_per_cell": 0.0,
  "e_form_ev_per_fu": 2.18
}

No. 3
{
  "formula": "ZrTiNbAs2",
  "functional": "PBE",
  "state": "relaxed",
  "cell": [[-2.913, -1.660, -3.600], [1.107, -4.779, 1.308], [-3.816, -0.034, 3.104]],
  "species": ["Nb", "As", "As", "Zr", "Ti"],
  "frac_coords": [[0.000, 0.000, 0.000], [0.000, 0.000, 0.500], [0.500, 0.000, 0.000], [0.000, 0.500, 0.000], [0.500, 0.500, 0.500]],
  "de_polymorph_mev_per_atom": 275.7,
  "sg": "No. 123",
  "m_tot_mub_per_cell": 0.0,
  "e_form_ev_per_fu": 3.56
}

No. 4
{
  "formula": "Nb2Tl2As",
  "functional": "PBE",
  "state": "relaxed",
  "cell": [[-1.033, 4.702, 4.691], [-1.204, -4.801, 4.547], [4.632, -0.100, 1.121]],
  "species": ["As", "As", "Tl", "Tl", "Tl", "Tl", "Nb", "Nb", "Nb", "Nb"],
  "frac_coords": [[0.000, 0.000, 0.000], [0.500, 0.500, 0.000], [0.166, 0.666, 0.500], [0.666, 0.834, 0.500], [0.834, 0.334, 0.500], [0.334, 0.166, 0.500], [0.355, 0.855, 0.000], [0.855, 0.645, 0.000], [0.645, 0.145, 0.000], [0.145, 0.355, 0.000]],
  "de_polymorph_mev_per_atom": 0.0,
  "sg": "No. 127",
  "m_tot_mub_per_cell": 0.0,
  "e_form_ev_per_fu": 0.40
}

No. 5
{
  "formula": "Nb3TlAs",
  "functional": "PBE",
  "state": "relaxed",
  "cell": [[5.101, 0.000, 0.000], [0.000, 5.101, 0.000], [0.000, 0.000, 5.101]],
  "species": ["As", "Tl", "Nb", "Nb", "Nb"],
  "frac_coords": [[0.500, 0.500, 0.500], [0.000, 0.000, 0.000], [0.000, 0.500, 0.000], [0.000, 0.000, 0.500], [0.500, 0.000, 0.000]],
  "de_polymorph_mev_per_atom": 1415.2,
  "sg": "No. 221",
  "m_tot_mub_per_cell": 0.0,
  "e_form_ev_per_fu": 10.25
}

No. 6
{
  "formula": "Nb2Tl2As",
  "functional": "PBE",
  "state": "relaxed",
  "cell": [[3.895, 0.000, 0.000], [0.000, 3.895, 0.000], [1.947, 1.947, 7.358]],
  "species": ["As", "Tl", "Tl", "Nb", "Nb"],
  "frac_coords": [[0.000, 0.000, 0.000], [0.750, 0.250, 0.500], [0.250, 0.750, 0.500], [0.414, 0.414, 0.172], [0.586, 0.586, 0.828]],
  "de_polymorph_mev_per_atom": 514.5,
  "sg": "No. 139",
  "m_tot_mub_per_cell": 0.0,
  "e_form_ev_per_fu": 2.97
}

No. 7
{
  "formula": "NbTl3As",
  "functional": "PBE",
  "state": "relaxed",
  "cell": [[-2.874, 0.631, -4.659], [1.991, -4.784, -1.876], [-4.260, -2.662, 2.267]],
  "species": ["As", "Tl", "Tl", "Tl", "Nb"],
  "frac_coords": [[0.500, 0.500, 0.500], [0.000, 0.500, 0.000], [0.000, 0.000, 0.500], [0.500, 0.000, 0.000], [0.000, 0.000, 0.000]],
  "de_polymorph_mev_per_atom": 0.0,
  "sg": "No. 221",
  "m_tot_mub_per_cell": 0.6,
  "e_form_ev_per_fu": 4.72
}

No. 8
{
  "formula": "NbTl2As",
  "functional": "PBE",
  "state": "relaxed",
  "cell": [[-2.618, -6.702, -3.787], [-0.873, -3.715, 7.179], [-4.447, -4.249, 1.865]],
  "species": ["As", "As", "Tl", "Tl", "Tl", "Tl", "Nb", "Nb"],
  "frac_coords": [[0.500, 0.500, 0.000], [0.250, 0.750, 0.500], [0.624, 0.125, 0.250], [0.126, 0.625, 0.250], [0.375, 0.376, 0.750], [0.875, 0.874, 0.750], [0.000, 0.000, 0.000], [0.750, 0.250, 0.500]],
  "de_polymorph_mev_per_atom": 0.0,
  "sg": "No. 122",
  "m_tot_mub_per_cell": 0.0,
  "e_form_ev_per_fu": 2.55
}

No. 9
{
  "formula": "Nb2TlAs2",
  "functional": "PBE",
  "state": "relaxed",
  "cell": [[-5.569, 1.889, 4.728], [-5.024, -0.905, -5.557], [-0.366, -3.225, 0.857]],
  "species": ["As", "As", "As", "As", "Tl", "Tl", "Nb", "Nb", "Nb", "Nb"],
  "frac_coords": [[0.143, 0.643, 0.500], [0.643, 0.857, 0.500], [0.857, 0.357, 0.500], [0.357, 0.143, 0.500], [0.000, 0.000, 0.000], [0.500, 0.500, 0.000], [0.358, 0.858, 0.000], [0.858, 0.642, 0.000], [0.642, 0.142, 0.000], [0.142, 0.358, 0.000]],
  "sg": "No. 127",
  "m_tot_mub_per_cell": 0.0,
  "e_form_ev_per_fu": -1.14
}

No. 10
{
  "formula": "Nb3TlAs",
  "functional": "PBE",
  "state": "relaxed",
  "cell": [[-1.419, 4.325, -1.530], [-2.095, -2.036, -3.812], [-4.082, -0.458, 2.488]],
  "species": ["As", "Tl", "Nb", "Nb", "Nb"],
  "frac_coords": [[0.000, 0.000, 0.000], [0.500, 0.500, 0.500], [0.000, 0.500, 0.000], [0.000, 0.000, 0.500], [0.500, 0.000, 0.000]],
  "de_polymorph_mev_per_atom": 0.0,
  "sg": "No. 221",
  "m_tot_mub_per_cell": 0.0,
  "e_form_ev_per_fu": 3.18
}

No. 11
{
  "formula": "NbTl2As2",
  "functional": "PBE",
  "state": "relaxed",
  "cell": [[6.832, 0.000, 0.000], [0.000, 6.832, 0.000], [0.000, 0.000, 5.116]],
  "species": ["As", "As", "As", "As", "Tl", "Tl", "Tl", "Tl", "Nb", "Nb"],
  "frac_coords": [[0.359, 0.859, 0.000], [0.859, 0.641, 0.000], [0.641, 0.141, 0.000], [0.141, 0.359, 0.000], [0.182, 0.682, 0.500], [0.682, 0.818, 0.500], [0.818, 0.318, 0.500], [0.318, 0.182, 0.500], [0.000, 0.000, 0.000], [0.500, 0.500, 0.000]],
  "sg": "No. 127",
  "m_tot_mub_per_cell": 1.9,
  "e_form_ev_per_fu": 0.79
}

No. 12
{
  "formula": "NbTl2As",
  "functional": "PBE",
  "state": "relaxed",
  "cell": [[2.123, -1.334, 4.439], [1.535, 3.594, 3.273], [-2.538, 0.729, 4.360]],
  "species": ["As", "Tl", "Tl", "Nb"],
  "frac_coords": [[0.000, 0.000, 0.000], [0.250, 0.250, 0.250], [0.750, 0.750, 0.750], [0.500, 0.500, 0.500]],
  "de_polymorph_mev_per_atom": 91.2,
  "sg": "No. 225",
  "m_tot_mub_per_cell": 2.2,
  "e_form_ev_per_fu": 2.91
}

Values for VASP energy, eV per atom, ordered as above
-6.1418, -6.7263, -6.4505, -5.8242, -5.3943, -5.3098, -3.4194, -4.2264, -6.5881, -6.8095, -4.6631, -4.1351
Values for calculated volume, Å³/cell, ordered as above
103.1, 107.6, 122.9, 215.4, 132.7, 111.6, 167.4, 189.9, 191.2, 110.8, 238.8, 93.7